First-principles (PBE-GGA) data for an optimized crystal structure of Nd2Zn12Ni3Pd, as listed in Alexandria.

Geometry as extended XYZ:
```
18
Lattice="4.195 2.422 6.141 -4.195 2.422 6.141 0.000 -4.843 6.141" Properties=species:S:1:pos:R:3 pbc="T T T"
Nd 0.000 0.000 1.946
Nd 0.000 0.000 16.478
Zn -2.084 -1.203 8.460
Zn 0.000 -2.217 5.989
Zn -1.920 1.108 5.989
Zn -1.920 -1.108 12.435
Zn 0.000 -2.406 9.963
Zn -2.084 1.203 9.963
Zn 2.084 -1.203 8.460
Zn 0.000 2.406 8.460
Zn 1.920 1.108 5.989
Zn 1.920 -1.108 12.435
Zn 0.000 2.217 12.435
Zn 2.084 1.203 9.963
Ni -2.097 -1.211 6.141
Ni -2.097 1.211 12.282
Ni 0.000 2.422 6.141
Pd 0.000 0.000 9.212
```

Output
Calculated volume, Å³/f.u.: 374
ΔE_f, eV/atom: 0.164
SG: R-3m
Calculated total energy, eV per atom: -2.467